(1)
## RbHf2MgMn (GGA-PBE)

Data for a relaxed RbHf2MgMn crystal.

```
RbHf2MgMn
1.0
-4.7122 -0.7468 0.8732
0.5051 -5.2230 -1.7414
1.0601 -1.4044 4.5198
Mg Hf Mn Rb
1 2 1 1
Cartesian
0.2525 -2.6115 -0.8707
0.5300 -0.7022 2.2599
-2.3561 -0.3734 0.4366
0.0000 0.0000 0.0000
-1.5735 -3.6871 1.8258
```

ΔE_f in eV/f.u.: 3.16



(2)
## HfMgMnRu (GGA-PBE)

Data for a relaxed HfMgMnRu crystal.

```
HfMgMnRu
1.0
-2.0411 3.0873 2.6026
-0.0097 -0.4834 4.4986
2.4726 2.7761 2.5789
Mn Mg Ru Hf
1 1 1 1
Cartesian
0.2109 2.6900 4.8401
0.1055 1.3450 2.4200
0.0000 0.0000 0.0000
0.3164 4.0350 7.2601
```

ΔE_f in eV/f.u.: -0.65



(3)
## HfMg2MnS (GGA-PBE)

Data for a relaxed HfMg2MnS crystal.

```
HfMg2MnS
1.0
4.7484 0.0000 0.0000
0.0000 4.4434 0.0000
0.0000 0.0000 4.7484
Hf S Mn Mg
1 1 1 2
Cartesian
2.3742 2.2217 2.3742
0.0000 0.0000 0.0000
0.0000 2.2217 0.0000
0.0000 0.0000 2.3742
2.3742 0.0000 0.0000
```

Raw formation energy in eV per formula unit: 1.5



(4)
## HfMg2MnSn (GGA-PBE)

Data for a relaxed HfMg2MnSn crystal.

```
HfMg2MnSn
1.0
5.0863 0.0000 0.0000
0.0000 5.0337 0.0000
0.0000 0.0000 5.0863
Hf Mn Mg Sn
1 1 2 1
Cartesian
2.5432 2.5169 2.5432
0.0000 2.5169 0.0000
0.0000 0.0000 2.5432
2.5432 0.0000 0.0000
0.0000 0.0000 0.0000
```

ΔE_f in eV/f.u.: 6.11